(1)
Cs2SrRhBr6 (GGA-PBE, relaxed); N(E_F) = 2.9 states/eV/cell; space-group type = I4/mmm
1.0
8.0269 0.0000 0.0000
0.0000 8.0269 0.0000
4.0134 4.0134 5.5582
Cs Sr Rh Br
2 1 1 6
direct
0.7500 0.2500 0.5000
0.2500 0.7500 0.5000
0.5000 0.5000 0.0000
0.0000 0.0000 0.0000
0.2280 0.2280 0.5440
0.7720 0.7720 0.4560
0.2350 0.2350 0.0000
0.7650 0.7650 0.0000
0.7650 0.2350 0.0000
0.2350 0.7650 0.0000

(2)
Cs2TeRhBr6 (GGA-PBE, relaxed); N(E_F) = 3.7 states/eV/cell; space-group type = I4/mmm
1.0
-7.0394 -3.4897 0.1380
3.2972 -6.7430 -2.3262
-1.0682 -6.5291 4.1392
Cs Te Rh Br
2 1 1 6
direct
0.7500 0.2500 0.5000
0.2500 0.7500 0.5000
0.0000 0.0000 0.0000
0.5000 0.5000 0.0000
0.2641 0.2641 0.4718
0.7359 0.7359 0.5282
0.2671 0.2671 0.0000
0.7329 0.7329 0.0000
0.7329 0.2671 0.0000
0.2671 0.7329 0.0000

(3)
Cs2Tl2RhBr6 (GGA-PBE, relaxed); space-group type = C2/m
1.0
8.3595 0.2505 0.2532
-3.9140 7.3909 0.2532
-1.4185 -2.4382 7.3452
Cs Tl Rh Br
2 2 1 6
direct
0.3428 0.6572 0.5000
0.6572 0.3428 0.5000
0.8426 0.1574 0.0000
0.1574 0.8426 0.0000
0.0000 0.0000 0.5000
0.8111 0.8111 0.7509
0.0534 0.3035 0.6945
0.1889 0.1889 0.2491
0.3035 0.0534 0.6945
0.9466 0.6965 0.3055
0.6965 0.9466 0.3055

(4)
Cs2VRhBr6 (GGA-PBE, relaxed); N(E_F) = 31.2 states/eV/cell; space-group type = I4/mmm
1.0
7.5362 0.0000 0.0000
0.0000 7.5362 0.0000
3.7681 3.7681 5.3533
Cs Rh Br V
2 1 6 1
direct
0.7500 0.2500 0.5000
0.2500 0.7500 0.5000
0.0000 0.0000 0.0000
0.2546 0.2546 0.4908
0.7454 0.7454 0.5092
0.2528 0.2528 0.0000
0.7472 0.7472 0.0000
0.7472 0.2528 0.0000
0.2528 0.7472 0.0000
0.5000 0.5000 0.0000

(5)
Cs2YRhBr6 (GGA-PBE, relaxed); N(E_F) = 0.0 states/eV/cell; space-group type = Fm-3m
1.0
-2.3978 -7.5057 0.2457
7.3935 -2.3142 1.4577
1.5676 -4.4335 6.3267
Cs Y Rh Br
2 1 1 6
direct
0.7500 0.2500 0.5000
0.2500 0.7500 0.5000
0.5000 0.5000 0.0000
0.0000 0.0000 0.0000
0.2480 0.2480 0.5039
0.7520 0.7520 0.4961
0.2480 0.2480 0.0000
0.7520 0.7520 0.0000
0.7520 0.2480 0.0000
0.2480 0.7520 0.0000

(6)
Cs2ZnRhBr6 (GGA-PBE, relaxed); N(E_F) = 2.3 states/eV/cell; space-group type = I4/mmm
1.0
7.6151 0.0000 0.0000
0.0000 7.6151 0.0000
3.8076 3.8076 5.2496
Cs Zn Rh Br
2 1 1 6
direct
0.7500 0.2500 0.5000
0.2500 0.7500 0.5000
0.5000 0.5000 0.0000
0.0000 0.0000 0.0000
0.2502 0.2502 0.4997
0.7498 0.7498 0.5003
0.2400 0.2400 0.0000
0.7600 0.7600 0.0000
0.7600 0.2400 0.0000
0.2400 0.7600 0.0000

(7)
Cs2ZrRhBr6 (GGA-PBE, relaxed); N(E_F) = 5.4 states/eV/cell; space-group type = I4/mmm
1.0
7.7728 0.0000 0.0000
0.0000 7.7728 0.0000
3.8864 3.8864 5.4449
Cs Rh Br Zr
2 1 6 1
direct
0.7500 0.2500 0.5000
0.2500 0.7500 0.5000
0.0000 0.0000 0.0000
0.2525 0.2525 0.4949
0.7475 0.7475 0.5051
0.2545 0.2545 0.0000
0.7455 0.7455 0.0000
0.7455 0.2545 0.0000
0.2545 0.7455 0.0000
0.5000 0.5000 0.0000

(8)
CsRu3Br (GGA-PBE, relaxed); N(E_F) = 8.5 states/eV/cell; offset from the most stable computed form = 0.00 eV per formula unit; space-group type = Pm-3m
1.0
4.8531 0.0000 0.0000
0.0000 4.8531 0.0000
0.0000 0.0000 4.8531
Cs Ru Br
1 3 1
direct
0.5000 0.5000 0.5000
0.0000 0.5000 0.0000
0.0000 0.0000 0.5000
0.5000 0.0000 0.0000
0.0000 0.0000 0.0000

Number 1: raw formation energy -131 kJ per mole of atoms, energy -0.252 Ry/atom, ρ 4.34 g/cm3. Number 2: raw formation energy -82 kJ per mole of atoms, energy -0.226 Ry/atom, ρ 4.79 g/cm3. Number 3: raw formation energy -91 kJ per mole of atoms, energy -0.229 Ry/atom, ρ 4.43 g/cm3. Number 4: raw formation energy -91 kJ per mole of atoms, energy -0.277 Ry/atom, ρ 4.91 g/cm3. Number 5: raw formation energy -133 kJ per mole of atoms, energy -0.289 Ry/atom, ρ 4.49 g/cm3. Number 6: raw formation energy -94 kJ per mole of atoms, energy -0.221 Ry/atom, ρ 4.98 g/cm3. Number 7: raw formation energy -110 kJ per mole of atoms, energy -0.287 Ry/atom, ρ 4.74 g/cm3. Number 8: raw formation energy 165 kJ per mole of atoms, energy -0.320 Ry/atom, ρ 7.50 g/cm3.